[1]
A plane-wave DFT calculation with PBE was carried out for crystalline YHoBiSb at its relaxed geometry.

Cell and atoms, written as POSCAR:
```
YHoBiSb
1.0
4.425 0.000 0.000
0.000 4.425 0.000
0.000 0.000 6.256
Y Ho Bi Sb
1 1 1 1
Cartesian
0.000 0.000 0.000 Y
2.213 2.213 3.128 Ho
2.213 2.213 0.000 Bi
0.000 0.000 3.128 Sb
```

Computed properties:
Formation energy without anion corrections = -0.999 eV per atom
Volume = 30.63 A^3/atom
Calculated density = 7923 kg/m³
Total DFT energy (no corrections) = -5.7607 eV per atom
Magnetic moment = 0.00 μB per cell

[2]
A plane-wave DFT calculation with PBE was carried out for crystalline Sm4Tl2CdAg at its relaxed geometry.

Cell and atoms, written as POSCAR:
```
Sm4Tl2CdAg
1.0
2.700 1.559 8.821
-2.700 1.559 8.821
0.000 -3.118 8.821
Sm Tl Cd Ag
4 2 1 1
Cartesian
0.000 0.000 3.239 Sm
0.000 0.000 9.859 Sm
0.000 0.000 16.602 Sm
0.000 0.000 23.223 Sm
0.000 0.000 6.563 Tl
0.000 0.000 19.898 Tl
0.000 0.000 13.231 Cd
0.000 0.000 0.000 Ag
```

Computed properties:
Formation energy from the elements = -0.34 eV/atom
Volume = 27.85 A^3/atom
Calculated density = 9172 kg/m³
Total DFT energy (no corrections) = -3.7641 eV per atom
Magnetic moment = 1.38 μB per cell

[3]
A plane-wave DFT calculation with PBE was carried out for crystalline RbSr2GeRh at its relaxed geometry.

Cell and atoms, written as POSCAR:
```
RbSr2GeRh
1.0
5.958 0.000 0.000
0.000 5.958 0.000
0.000 0.000 4.911
Rb Sr Ge Rh
1 2 1 1
Cartesian
0.000 0.000 0.000 Rb
0.000 2.979 2.456 Sr
2.979 0.000 2.456 Sr
2.979 2.979 0.000 Ge
2.979 2.979 2.456 Rh
```

Computed properties:
Formation energy from the elements = -0.20 eV/atom
Volume = 34.87 A^3/atom
Calculated density = 4155 kg/m³
Total DFT energy (no corrections) = -3.4582 eV per atom
Magnetic moment = 0.25 μB per cell

[4]
A plane-wave DFT calculation with PBE was carried out for crystalline K2ReF6 at its relaxed geometry.

Cell and atoms, written as POSCAR:
```
K2ReF6
1.0
5.576 0.000 0.000
0.000 5.576 0.000
0.000 0.000 11.354
K Re F
4 2 12
Cartesian
0.000 0.000 1.853 K
0.000 0.000 9.501 K
2.788 2.788 3.824 K
2.788 2.788 7.530 K
0.000 0.000 5.677 Re
2.788 2.788 0.000 Re
0.953 0.953 4.209 F
0.953 0.953 7.145 F
1.384 1.384 0.000 F
1.404 4.172 5.677 F
1.835 3.742 1.468 F
1.835 3.742 9.886 F
3.742 1.835 1.468 F
3.742 1.835 9.886 F
4.172 1.404 5.677 F
4.193 4.193 0.000 F
4.623 4.623 4.209 F
4.623 4.623 7.145 F
```

Computed properties:
Formation energy without anion corrections = -2.498 eV per atom
Volume = 19.61 A^3/atom
Calculated density = 3560 kg/m³
Total DFT energy (no corrections) = -5.3725 eV per atom
Magnetic moment = 6.00 μB per cell

[5]
A plane-wave DFT calculation with PBE was carried out for crystalline GaBi2TeCl at its relaxed geometry.

Cell and atoms, written as POSCAR:
```
GaBi2TeCl
1.0
5.490 0.000 0.000
0.000 5.490 0.000
0.000 0.000 5.692
Ga Bi Te Cl
1 2 1 1
Cartesian
0.000 0.000 0.000 Ga
0.000 2.745 2.846 Bi
2.745 0.000 2.846 Bi
2.745 2.745 0.000 Te
2.745 2.745 2.846 Cl
```

Computed properties:
Formation energy without anion corrections = 0.549 eV per atom
Volume = 34.32 A^3/atom
Calculated density = 6298 kg/m³
Total DFT energy (no corrections) = -2.6060 eV per atom
Magnetic moment = 0.00 μB per cell

[6]
A plane-wave DFT calculation with PBE was carried out for crystalline GdTl2Pb at its relaxed geometry.

Cell and atoms, written as POSCAR:
```
GdTl2Pb
1.0
0.000 3.893 3.893
3.893 0.000 3.893
3.893 3.893 0.000
Gd Tl Pb
1 2 1
Cartesian
0.000 0.000 0.000 Gd
1.946 1.946 1.946 Tl
5.839 5.839 5.839 Tl
3.893 3.893 3.893 Pb
```

Computed properties:
Formation energy from the elements = -0.14 eV/atom
Volume = 29.49 A^3/atom
Calculated density = 10885 kg/m³
Total DFT energy (no corrections) = -5.7748 eV per atom
Magnetic moment = 7.01 μB per cell

[7]
A plane-wave DFT calculation with PBE was carried out for crystalline Pu3BiH3 at its relaxed geometry.

Cell and atoms, written as POSCAR:
```
Pu3BiH3
1.0
6.286 0.000 0.000
0.000 6.286 0.000
0.000 0.000 6.286
Pu Bi H
6 2 6
Cartesian
0.000 1.571 3.143 Pu
0.000 4.714 3.143 Pu
1.571 3.143 0.000 Pu
3.143 0.000 1.571 Pu
3.143 0.000 4.714 Pu
4.714 3.143 0.000 Pu
0.000 0.000 0.000 Bi
3.143 3.143 3.143 Bi
0.000 3.143 1.571 H
0.000 3.143 4.714 H
1.571 0.000 3.143 H
3.143 1.571 0.000 H
3.143 4.714 0.000 H
4.714 0.000 3.143 H
```

Computed properties:
Volume = 17.74 A^3/atom
Calculated density = 12625 kg/m³
Total DFT energy (no corrections) = -8.5413 eV per atom
Magnetic moment = 35.89 μB per cell

[8]
A plane-wave DFT calculation with PBE was carried out for crystalline Pu2CoRe at its relaxed geometry.

Cell and atoms, written as POSCAR:
```
Pu2CoRe
1.0
1.397 0.807 10.364
-1.397 0.807 10.364
0.000 -1.614 10.364
Pu Co Re
2 1 1
Cartesian
0.000 0.000 2.843 Pu
0.000 0.000 28.249 Pu
0.000 0.000 15.546 Co
0.000 0.000 0.000 Re
```

Computed properties:
Formation energy from the elements = 0.62 eV/atom
Volume = 17.53 A^3/atom
Calculated density = 17366 kg/m³
Total DFT energy (no corrections) = -11.4370 eV per atom
Magnetic moment = 9.20 μB per cell

[9]
A plane-wave DFT calculation with PBE was carried out for crystalline Mo2RuRh at its relaxed geometry.

Cell and atoms, written as POSCAR:
```
Mo2RuRh
1.0
0.000 3.124 3.124
3.124 0.000 3.124
3.124 3.124 0.000
Mo Ru Rh
2 1 1
Cartesian
1.562 1.562 1.562 Mo
4.685 4.685 4.685 Mo
0.000 0.000 0.000 Ru
3.124 3.124 3.124 Rh
```

Computed properties:
Formation energy from the elements = 0.33 eV/atom
Volume = 15.24 A^3/atom
Calculated density = 10785 kg/m³
Total DFT energy (no corrections) = -9.2433 eV per atom
Magnetic moment = 0.00 μB per cell

[10]
A plane-wave DFT calculation with PBE was carried out for crystalline Sc6Ni5Ge at its relaxed geometry.

Cell and atoms, written as POSCAR:
```
Sc6Ni5Ge
1.0
-2.257 3.214 6.783
2.257 -3.214 6.783
2.257 3.214 -6.783
Sc Ni Ge
6 5 1
Cartesian
2.257 1.579 -2.311 Sc
0.000 1.541 0.000 Sc
2.257 1.579 2.311 Sc
0.000 1.635 4.472 Sc
0.000 4.888 0.000 Sc
0.000 1.635 9.093 Sc
2.257 0.000 0.000 Ni
0.000 0.000 2.261 Ni
2.257 0.000 4.572 Ni
0.000 3.214 2.211 Ni
0.000 0.000 11.305 Ni
0.000 0.000 6.783 Ge
```

Computed properties:
Formation energy from the elements = -0.54 eV/atom
Volume = 16.41 A^3/atom
Calculated density = 5363 kg/m³
Total DFT energy (no corrections) = -6.5006 eV per atom
Magnetic moment = 0.00 μB per cell

[11]
A plane-wave DFT calculation with PBE was carried out for crystalline KTlBi2Os at its relaxed geometry.

Cell and atoms, written as POSCAR:
```
KTlBi2Os
1.0
5.930 0.000 0.000
0.000 5.930 0.000
0.000 0.000 5.322
K Tl Bi Os
1 1 2 1
Cartesian
0.000 0.000 0.000 K
2.965 2.965 2.661 Tl
0.000 2.965 0.000 Bi
2.965 0.000 0.000 Bi
0.000 0.000 2.661 Os
```

Computed properties:
Formation energy from the elements = 1.92 eV/atom
Volume = 37.44 A^3/atom
Calculated density = 7555 kg/m³
Total DFT energy (no corrections) = -2.5719 eV per atom
Magnetic moment = 2.32 μB per cell

[12]
A plane-wave DFT calculation with PBE was carried out for crystalline YMgMo2 at its relaxed geometry.

Cell and atoms, written as POSCAR:
```
YMgMo2
1.0
-1.731 2.532 4.719
1.731 -2.532 4.719
1.731 2.532 -4.719
Y Mg Mo
1 1 2
Cartesian
0.000 0.000 0.000 Y
0.000 2.532 2.029 Mg
1.731 0.000 2.465 Mo
0.000 0.000 4.192 Mo
```

Computed properties:
Formation energy from the elements = 0.28 eV/atom
Volume = 20.68 A^3/atom
Calculated density = 6125 kg/m³
Total DFT energy (no corrections) = -7.1545 eV per atom
Magnetic moment = 0.00 μB per cell